DFT (GGA-PBE) results for CdHOs2 after structural relaxation.

a b c (Å): 4.292 4.292 4.292
angles (deg): 60.00 60.00 60.00
Atoms (fractional coordinates):
Os  0.250  0.250  0.250
H  0.000  0.000  0.000
Os  0.750  0.750  0.750
Cd  0.500  0.500  0.500

Output
calculated total energy	-20.1	eV per cell
space group	No. 225
D(E_F)	4.65	states/eV per cell
magnetization	0.00	μB/atom
distance to the lowest polymorph of the same formula	808	meV/atom